An optimized crystal structure of TlSi2W. Source: Alexandria, functional PBEsol.

Unit cell a=5.1155 b=5.1155 c=5.1155 alpha=142.25 beta=125.65 gamma=68.07
Last column: nearest neighbours and their distance in Å.
Element x y z (fractional)
Tl 0.0000 0.0000 0.0000  8 Si 2.78-3.08, 4 W 2.91-2.98
Si 0.5184 0.5184 0.0000  2 Si 2.48, 2 W 2.60
Si 0.7362 0.2362 0.5000  2 Si 2.48
W 0.2819 0.7819 0.5000  6 Si 2.60-2.89, 2 Tl 2.91

Properties
Density in g/cm3: 11.3
SG: Imm2, No. 44
E_tot in eV/atom: -6.332
Offset from the most stable computed form in meV per atom: 99